(1)
Computed, not measured: a geometry-optimized Dy8TcPb2 structure at the PBE-GGA level of DFT.

Geometry as CIF:
```
data_Dy8TcPb2
_chemical_formula_sum 'Dy16 Tc2 Pb4'
_space_group_name_H-M_alt 'C 1 2/m 1'
_space_group_IT_number 12
_cell_length_a 17.3506
_cell_length_b 5.5556
_cell_length_c 7.0303
_cell_angle_alpha 90.00
_cell_angle_beta 113.87
_cell_angle_gamma 90.00
loop_
_space_group_symop_operation_xyz
'x,y,z'
'-x,-y,-z'
'-x,y,-z'
'x,-y,z'
'x+1/2,y+1/2,z'
'-x+1/2,-y+1/2,-z'
'-x+1/2,y+1/2,-z'
'x+1/2,-y+1/2,z'
loop_
_atom_site_label
_atom_site_type_symbol
_atom_site_fract_x
_atom_site_fract_y
_atom_site_fract_z
Dy1 Dy 0.9998 0.0000 0.2412
Dy2 Dy 0.1236 0.5000 0.3866
Dy3 Dy 0.1245 0.5000 0.8631
Dy4 Dy 0.1897 0.0000 0.1908
Tc1 Tc 0.0000 0.5000 0.0000
Pb1 Pb 0.1867 0.0000 0.6866
```

Summary:
As for the density of states at the Fermi level: 11.5 states/eV/f.u. The magnetic moment comes out at 0.0 μB per formula unit. Its energy of formation from the pure elements is -0.214 eV per atom. The value obtained for the total DFT energy (no corrections) is -5.178 eV/atom. For the calculated volume, the calculation gives 28.169 Å³ per atom.

(2)
Computed, not measured: a geometry-optimized Li2SnSb structure at the PBE-GGA level of DFT.

Geometry as CIF:
```
data_Li2SnSb
_chemical_formula_sum 'Li6 Sn3 Sb3'
_space_group_name_H-M_alt 'R 3 m'
_space_group_IT_number 160
_space_group_name_Hall 'R 3 -2"'
_cell_length_a 4.5790
_cell_length_b 4.5790
_cell_length_c 15.6635
_cell_angle_alpha 90.00
_cell_angle_beta 90.00
_cell_angle_gamma 120.00
loop_
_atom_site_label
_atom_site_type_symbol
_atom_site_fract_x
_atom_site_fract_y
_atom_site_fract_z
Li1 Li 0.0000 0.0000 0.0000
Li2 Li 0.0000 0.0000 0.2116
Sn1 Sn 0.0000 0.0000 0.4254
Sb1 Sb 0.0000 0.0000 0.6170
```

Summary:
As for the density of states at the Fermi level: 1.9 states/eV/f.u. Its formation energy (no corrections) is -262 meV/atom. The magnetic moment comes out at 0.0 μB per formula unit. The value obtained for the total DFT energy (no corrections) is -3.250 eV/atom. For the calculated volume, the calculation gives 23.702 Å³ per atom.

(3)
Computed, not measured: a geometry-optimized NaFeAs structure at the PBE-GGA level of DFT.

Geometry as CIF:
```
data_NaFeAs
_chemical_formula_sum 'Na2 Fe2 As2'
_space_group_name_H-M_alt 'P 4/n m m'
_space_group_IT_number 129
_cell_length_a 3.9191
_cell_length_b 3.9191
_cell_length_c 6.8800
_cell_angle_alpha 90.00
_cell_angle_beta 90.00
_cell_angle_gamma 90.00
loop_
_space_group_symop_operation_xyz
'x,y,z'
'-x,-y,-z'
'-y+1/2,x,z'
'y+1/2,-x,-z'
'-x+1/2,-y+1/2,z'
'x+1/2,y+1/2,-z'
'y,-x+1/2,z'
'-y,x+1/2,-z'
'x+1/2,-y,-z'
'-x+1/2,y,z'
'-y,-x,-z'
'y,x,z'
'-x,y+1/2,-z'
'x,-y+1/2,z'
'y+1/2,x+1/2,-z'
'-y+1/2,-x+1/2,z'
loop_
_atom_site_label
_atom_site_type_symbol
_atom_site_fract_x
_atom_site_fract_y
_atom_site_fract_z
Na1 Na 0.2500 0.2500 0.1521
Fe1 Fe 0.2500 0.7500 0.5000
As1 As 0.2500 0.2500 0.6871
```

Summary:
As for the density of states at the Fermi level: 1.9 states/eV/f.u. The magnetic moment comes out at 0.0 μB per formula unit. Its energy of formation from the pure elements is -0.284 eV per atom. The value obtained for the total DFT energy (no corrections) is -5.095 eV/atom. For the calculated volume, the calculation gives 17.612 Å³ per atom.

(4)
Computed, not measured: a geometry-optimized RbMn3Cr structure at the PBE-GGA level of DFT.

Geometry as CIF:
```
data_RbMn3Cr
_chemical_formula_sum 'Rb1 Mn3 Cr1'
_space_group_name_H-M_alt 'P m -3 m'
_space_group_IT_number 221
_space_group_name_Hall '-P 4 2 3'
_cell_length_a 4.3095
_cell_length_b 4.3095
_cell_length_c 4.3095
_cell_angle_alpha 90.00
_cell_angle_beta 90.00
_cell_angle_gamma 90.00
loop_
_atom_site_label
_atom_site_type_symbol
_atom_site_fract_x
_atom_site_fract_y
_atom_site_fract_z
Rb1 Rb 0.0000 0.0000 0.0000
Mn1 Mn 0.0000 0.0000 0.5000
Cr1 Cr 0.5000 0.5000 0.5000
```

Summary:
As for the density of states at the Fermi level: 10.4 states/eV/f.u. The magnetic moment comes out at 0.0 μB per formula unit. Its energy of formation from the pure elements is 3.349 eV per atom. The value obtained for the total DFT energy (no corrections) is -4.271 eV/atom. For the calculated volume, the calculation gives 16.007 Å³ per atom.

(5)
Computed, not measured: a geometry-optimized Ce2CdF structure at the PBE-GGA level of DFT.

Geometry as CIF:
```
data_Ce2CdF
_chemical_formula_sum 'Ce2 Cd1 F1'
_space_group_name_H-M_alt 'P 4/m m m'
_space_group_IT_number 123
_space_group_name_Hall '-P 4 2'
_cell_length_a 3.0869
_cell_length_b 3.0869
_cell_length_c 8.8317
_cell_angle_alpha 90.00
_cell_angle_beta 90.00
_cell_angle_gamma 90.00
loop_
_atom_site_label
_atom_site_type_symbol
_atom_site_fract_x
_atom_site_fract_y
_atom_site_fract_z
Ce1 Ce 0.0000 0.0000 0.2149
Cd1 Cd 0.5000 0.5000 0.5000
F1 F 0.5000 0.5000 0.0000
```

Summary:
As for the density of states at the Fermi level: 10.0 states/eV/f.u. Its formation energy (no corrections) is -995 meV/atom. The magnetic moment comes out at 2.0 μB per formula unit. The value obtained for the total DFT energy (no corrections) is -4.659 eV/atom. For the calculated volume, the calculation gives 21.039 Å³ per atom.

(6)
Computed, not measured: a geometry-optimized Mg2TaCr structure at the PBE-GGA level of DFT.

Geometry as CIF:
```
data_Mg2TaCr
_chemical_formula_sum 'Mg2 Ta1 Cr1'
_space_group_name_H-M_alt 'P 1 2/m 1'
_space_group_IT_number 10
_cell_length_a 2.7821
_cell_length_b 4.8067
_cell_length_c 5.3516
_cell_angle_alpha 90.00
_cell_angle_beta 104.61
_cell_angle_gamma 90.00
loop_
_space_group_symop_operation_xyz
'x,y,z'
'-x,-y,-z'
'-x,y,-z'
'x,-y,z'
loop_
_atom_site_label
_atom_site_type_symbol
_atom_site_fract_x
_atom_site_fract_y
_atom_site_fract_z
Mg1 Mg 0.1929 0.0000 0.2587
Ta1 Ta 0.5000 0.5000 0.0000
Cr1 Cr 0.0000 0.5000 0.5000
```

Summary:
As for the density of states at the Fermi level: 3.6 states/eV/f.u. The magnetic moment comes out at 1.1 μB per formula unit. Its energy of formation from the pure elements is 0.460 eV per atom. The value obtained for the total DFT energy (no corrections) is -5.706 eV/atom. For the calculated volume, the calculation gives 17.313 Å³ per atom.

(7)
Computed, not measured: a geometry-optimized ZnAs2RhSe structure at the PBE-GGA level of DFT.

Geometry as CIF:
```
data_ZnAs2RhSe
_chemical_formula_sum 'Zn1 As2 Rh1 Se1'
_space_group_name_H-M_alt 'P 4/m m m'
_space_group_IT_number 123
_space_group_name_Hall '-P 4 2'
_cell_length_a 4.6754
_cell_length_b 4.6754
_cell_length_c 5.3556
_cell_angle_alpha 90.00
_cell_angle_beta 90.00
_cell_angle_gamma 90.00
loop_
_atom_site_label
_atom_site_type_symbol
_atom_site_fract_x
_atom_site_fract_y
_atom_site_fract_z
Zn1 Zn 0.0000 0.0000 0.0000
As1 As 0.0000 0.5000 0.5000
Rh1 Rh 0.5000 0.5000 0.5000
Se1 Se 0.5000 0.5000 0.0000
```

Summary:
As for the density of states at the Fermi level: 3.3 states/eV/f.u. Its formation energy (no corrections) is 429 meV/atom. The magnetic moment comes out at 0.0 μB per formula unit. The value obtained for the total DFT energy (no corrections) is -3.853 eV/atom. For the calculated volume, the calculation gives 23.414 Å³ per atom.

(8)
Computed, not measured: a geometry-optimized RbCuHg3 structure at the PBE-GGA level of DFT.

Geometry as CIF:
```
data_RbCuHg3
_chemical_formula_sum 'Rb1 Cu1 Hg3'
_space_group_name_H-M_alt 'P m -3 m'
_space_group_IT_number 221
_space_group_name_Hall '-P 4 2 3'
_cell_length_a 6.8063
_cell_length_b 6.8063
_cell_length_c 6.8063
_cell_angle_alpha 90.00
_cell_angle_beta 90.00
_cell_angle_gamma 90.00
loop_
_atom_site_label
_atom_site_type_symbol
_atom_site_fract_x
_atom_site_fract_y
_atom_site_fract_z
Rb1 Rb 0.0000 0.0000 0.0000
Cu1 Cu 0.5000 0.5000 0.5000
Hg1 Hg 0.0000 0.0000 0.5000
```

Summary:
As for the density of states at the Fermi level: 1.1 states/eV/f.u. The magnetic moment comes out at 0.0 μB per formula unit. Its energy of formation from the pure elements is 0.596 eV per atom. The value obtained for the total DFT energy (no corrections) is -0.598 eV/atom. For the calculated volume, the calculation gives 63.060 Å³ per atom.